! Mg8Ga2Ag (PBE, relaxed); values from VASP
! - energy above the most stable polymorph in this dataset (kJ/mol of formula units) = 4.4
! - electronic total energy (Ha/atom) = -0.07598
! - energy of formation from the pure elements (meV/atom) = -98
&SYSTEM
  ibrav = 0, nat = 11, ntyp = 3
/
ATOMIC_SPECIES
Ag 107.87 Ag.upf
Mg 24.30 Mg.upf
Ga 69.72 Ga.upf
CELL_PARAMETERS angstrom
-3.1991 0.9343 -3.2738
-0.7381 -6.9531 -1.2631
-2.9781 2.6739 7.0065
ATOMIC_POSITIONS crystal
Ag 0.5000 0.0000 0.0000
Mg 0.6521 0.4269 0.3042
Mg 0.1608 0.1608 0.3216
Mg 0.8392 0.8392 0.6784
Mg 0.3479 0.1227 0.6958
Mg 0.6521 0.8773 0.3042
Mg 0.0000 0.2844 0.0000
Mg 0.0000 0.7156 0.0000
Mg 0.3479 0.5731 0.6958
Ga 0.8157 0.3157 0.6314
Ga 0.1843 0.6843 0.3686